[1]
Compound: LaGaRu3
Source: Alexandria via LeMat-Bulk
Functional: PBE-GGA
Structure: relaxed

The structure in POSCAR format:
```
LaGaRu3
1.0
4.6343 0.0000 0.0000
0.0000 4.6343 0.0000
0.0000 0.0000 4.6343
Ga Ru La
1 3 1
direct
0.0000 0.0000 0.0000 Ga
0.0000 0.0000 0.5000 Ru
0.5000 0.0000 0.0000 Ru
0.0000 0.5000 0.0000 Ru
0.5000 0.5000 0.5000 La
```

Output
crystal system	cubic
excess energy over the best structure of this formula in the dataset	0	meV/atom
volume	19.9	Å³/atom

***

[2]
Compound: NaInSn2Pd4
Source: Alexandria via LeMat-Bulk
Functional: PBE-GGA
Structure: relaxed

The structure in POSCAR format:
```
NaInSn2Pd4
1.0
4.6830 0.0000 0.0000
2.3415 4.0556 0.0000
2.3415 1.3519 7.6361
Sn Pd In Na
2 4 1 1
direct
0.2559 0.2559 0.2323 Sn
0.7441 0.7441 0.7677 Sn
0.6197 0.6197 0.1409 Pd
0.8689 0.8689 0.3933 Pd
0.1311 0.1311 0.6067 Pd
0.3803 0.3803 0.8591 Pd
0.5000 0.5000 0.5000 In
0.0000 0.0000 0.0000 Na
```

Output
crystal system	trigonal
volume	18.1	Å³/atom

***

Energy of formation per entry: 0.461 -0.454 eV/atom